This record from the Alexandria database describes HfTi2CuO after structural relaxation. The functional is PBE.

a = 4.072 Å, b = 4.072 Å, c = 4.364 Å
α = 90.00°, β = 90.00°, γ = 90.00°
Element x y z (fractional)
Hf 0.000 0.000 0.000
Ti 0.000 0.500 0.500
Ti 0.500 0.000 0.500
Cu 0.500 0.500 0.000
O 0.000 0.000 0.500

Output
Space-group type ... P4/mmm
Calculated total energy ... -0.5883 Ry per atom